## Mn2BeHg (PBE-GGA)

Data for an optimized crystal structure of Mn2BeHg.

Properties
Calculated total energy ... -5.34 eV per atom
Space group ... Pmmm (47)

Geometry as POSCAR:
```
Mn2BeHg
1.0
2.8351 0.0000 0.0000
0.0000 2.8190 0.0052
0.0000 2.7991 7.0027
Mn Hg Be
2 1 1
Cartesian
0.0000 2.8107 3.1155
0.0000 2.8174 0.3936
1.4176 4.2136 5.2559
1.4176 1.4045 1.7520
```



## Tb5Ce2Dy5 (PBE-GGA)

Data for an optimized crystal structure of Tb5Ce2Dy5.

Properties
Calculated total energy ... -4.79 eV per atom
Space group ... C2/m (12)

Geometry as POSCAR:
```
Tb5Ce2Dy5
1.0
-3.5249 -1.1090 3.3798
-3.1380 -9.7829 -2.7729
3.5601 -1.8037 6.8308
Dy Ce Tb
5 2 5
Cartesian
0.2110 -5.7933 2.0289
-3.1205 -10.7424 0.6404
-1.6649 -2.9887 0.9928
-1.4379 -9.7069 6.4448
0.0177 -1.9532 6.7973
0.2572 -6.7789 5.4636
-3.3600 -5.9167 1.9741
-1.6533 -3.9507 4.3991
-1.6321 -4.9354 7.8080
-1.4495 -8.7449 3.0386
-1.4707 -7.7602 -0.3703
0.0000 0.0000 0.0000
```



## Pu5Zr3N8 (PBE-GGA)

Data for an optimized crystal structure of Pu5Zr3N8.

Properties
ΔE_f (raw) ... -1450 meV/atom
Calculated total energy ... -11.69 eV per atom
Space group ... R-3m (166)

Geometry as POSCAR:
```
Pu5Zr3N8
1.0
2.3567 -6.0442 1.9580
3.3674 -3.9089 -4.3933
6.7044 -0.9415 0.7504
Pu N Zr
5 8 3
Cartesian
1.6837 -1.9544 -2.1967
0.0000 0.0000 0.0000
1.1784 -3.0221 0.9790
6.2142 -5.4473 -0.8425
2.8621 -4.9765 -1.2177
8.0970 -5.1881 -2.3086
7.5790 -6.2826 0.9467
6.3711 -3.1846 -0.0568
4.8495 -4.6120 -2.6317
9.2490 -8.2068 -1.2873
4.3315 -5.7065 0.6236
6.0574 -7.7100 -1.6282
3.1794 -2.6878 -0.3977
5.0359 -2.4252 -1.8215
3.3522 -0.4708 0.3752
4.5305 -3.4929 1.3542
```



## MgMnCr (PBE-GGA)

Data for an optimized crystal structure of MgMnCr.

Properties
Calculated total energy ... -6.42 eV per atom
Space group ... Fmm2 (42)

Geometry as POSCAR:
```
MgMnCr
1.0
-3.7817 -1.2322 5.4821
-1.2749 -1.6605 6.2365
-0.8740 2.3704 0.8084
Cr Mn Mg
1 1 1
Cartesian
-0.9431 2.2834 0.9888
-3.5983 -1.0577 7.9147
-2.2631 0.6225 4.4319
```



## Ce2Ga3H2 (PBE-GGA)

Data for an optimized crystal structure of Ce2Ga3H2.

Properties
Calculated total energy ... -4.22 eV per atom
Space group ... P2/m (10)

Geometry as POSCAR:
```
Ce2Ga3H2
1.0
4.0827 0.0000 -0.0469
0.0000 3.0689 0.0000
-1.9390 0.0000 9.2581
H Ga Ce
2 3 2
Cartesian
2.1229 0.0000 7.3069
0.0207 0.0000 1.9044
2.1003 0.0000 5.2675
0.0000 0.0000 0.0000
0.0434 0.0000 3.9437
2.0613 1.5344 1.9622
0.0824 1.5344 7.2490
```



## KPa4Fe3S12 (PBE-GGA)

Data for an optimized crystal structure of KPa4Fe3S12.

Properties
ΔE_f (raw) ... -1050 meV/atom
Calculated total energy ... -6.75 eV per atom
Space group ... Im-3 (204)

Geometry as POSCAR:
```
KPa4Fe3S12
1.0
-7.7263 -1.9538 2.8523
5.8285 -3.8729 4.7621
1.1272 8.3787 0.4194
Pa S Fe K
4 12 3 1
Cartesian
-0.3853 1.2760 4.0169
-3.8632 -0.9769 1.4262
2.9143 -1.9365 2.3811
0.5636 4.1893 0.2097
-3.3062 5.1113 3.0872
-0.9586 2.8257 1.9233
0.9480 3.3508 5.0320
1.9222 0.4737 2.9468
-1.7186 -0.7989 3.0018
4.3966 2.0766 4.7901
-5.1672 0.4753 3.2438
-2.3938 -2.8717 5.7106
-2.6928 2.0783 5.0871
1.6232 5.4237 2.3232
0.1880 -0.2737 6.1105
2.5356 -2.5593 4.9466
-3.2996 3.2125 1.6359
-0.9489 -2.9134 3.8072
3.4779 2.2529 2.5907
0.0000 0.0000 0.0000
```